First-principles (PBE-GGA) data for NbTlIn3 after structural relaxation, as listed in the Alexandria database.

The structure belongs to space group Pm-3m (No. 221); the cell edges are 5.5957, 5.5957 and 5.5957 Å and the angles 90.00°, 90.00° and 90.00°. The distinct sites, in fractional coordinates, are Nb at (0.0000, 0.0000, 0.0000), Tl at (0.5000, 0.5000, 0.5000) and In at (0.0000, 0.5000, 0.5000).

The density of states at the Fermi level is 4.88 states/eV/f.u. For the electronic total energy, the calculation gives -2.8502 eV per atom. The calculation puts the spin magnetization at 0.761 μB per atom.

---

First-principles (PBE-GGA) data for LiYHgCl6 after structural relaxation, as listed in the Alexandria database.

The structure belongs to space group P-31c (No. 163); the cell edges are 6.7045, 6.7045 and 12.0698 Å and the angles 90.00°, 90.00° and 120.00°. The distinct sites, in fractional coordinates, are Li at (0.0000, 0.0000, 0.0000), Y at (0.3333, 0.6667, 0.2500), Hg at (0.3333, 0.6667, 0.7500) and Cl at (0.0067, 0.3389, 0.1247).

The density of states at the Fermi level is 0.00 states/eV/f.u. As for the formation energy from raw total energies: -1.561 eV per atom. The calculation puts the spin magnetization at 0.000 μB per atom.

---

First-principles (PBE-GGA) data for NaRhN2 after structural relaxation, as listed in the Alexandria database.

The structure belongs to space group R-3m (No. 166, hexagonal axes); the cell edges are 3.1522, 3.1522 and 19.2044 Å and the angles 90.00°, 90.00° and 120.00°. The distinct sites, in fractional coordinates, are Na at (0.0000, 0.0000, 0.0000), Rh at (0.0000, 0.0000, 0.5000) and N at (0.0000, 0.0000, 0.1160).

The density of states at the Fermi level is 4.02 states/eV/f.u. As for the formation energy from raw total energies: 0.732 eV per atom. The calculation puts the spin magnetization at 0.000 μB per atom.

---

First-principles (PBE-GGA) data for WAu2 after structural relaxation, as listed in the Alexandria database.

The structure belongs to space group P6_3/mmc (No. 194); the cell edges are 4.6090, 4.6090 and 5.7098 Å and the angles 90.00°, 90.00° and 120.00°. The distinct sites, in fractional coordinates, are W at (0.3333, 0.6667, 0.2500), Au at (0.0000, 0.0000, 0.0000) and Au at (0.3333, 0.6667, 0.7500).

The density of states at the Fermi level is 3.24 states/eV/f.u. For the electronic total energy, the calculation gives -5.7596 eV per atom. The calculation puts the spin magnetization at 0.000 μB per atom.